Material: Sr2TlBiO6
Method: DFT, PBE
State: optimized geometry

Unit cell a=5.9594 b=6.1320 c=8.4733 alpha=90.00 beta=89.78 gamma=90.00
Atoms (fractional coordinates):
O: 0.7075 0.3055 0.9491
O: 0.2925 0.6945 0.0509
O: 0.2075 0.1945 0.4491
O: 0.1912 0.2131 0.0591
O: 0.7925 0.8055 0.5509
O: 0.6045 0.0443 0.2579
O: 0.1045 0.4557 0.7579
O: 0.8955 0.5443 0.2421
O: 0.8088 0.7869 0.9409
O: 0.6912 0.2869 0.5591
O: 0.3088 0.7131 0.4409
O: 0.3955 0.9557 0.7421
Bi: 0.0000 0.5000 0.0000
Bi: 0.5000 0.0000 0.5000
Tl: 0.0000 0.5000 0.5000
Tl: 0.5000 0.0000 0.0000
Sr: 0.9857 0.0521 0.7481
Sr: 0.5143 0.5521 0.7519
Sr: 0.4857 0.4479 0.2481
Sr: 0.0143 0.9479 0.2519

Space group   No. 14
Size of the total moment   0.00 μB/atom
Calculated volume   15.48 Å³/atom
ρ   7.34 g/cm3
E   -0.207 hartree per atom

Material: Tb2MgCu4Ge3
Method: DFT, PBE
State: optimized geometry

Unit cell a=4.1030 b=4.1030 c=10.4194 alpha=90.00 beta=90.00 gamma=90.00
Atoms (fractional coordinates):
Tb: 0.0000 0.5000 0.7677
Tb: 0.5000 0.0000 0.2323
Cu: 0.0000 0.5000 0.3575
Cu: 0.5000 0.0000 0.6425
Cu: 0.0000 0.0000 0.0000
Cu: 0.5000 0.5000 0.0000
Ge: 0.0000 0.0000 0.5000
Ge: 0.0000 0.5000 0.1320
Ge: 0.5000 0.0000 0.8680
Mg: 0.5000 0.5000 0.5000

Space group   No. 115
Size of the total moment   0.00 μB/atom
Calculated volume   17.54 Å³/atom
ρ   7.71 g/cm3
E   -0.168 hartree per atom